The following is a GGA-PBE calculation of ZrSc3I after structural relaxation, from Alexandria.

The space group is No. 221. The calculation puts the volume at 28.59 Å³ per atom. The value obtained for the energy above the most stable polymorph in this dataset is 0 meV per atom. The density of states at the Fermi level comes out at 2.65 states/eV/f.u. The value obtained for the total energy is -26.76 eV per cell. The calculation puts the formation energy without anion corrections at 0.466 eV per atom.

Unit cell a=5.229 b=5.229 c=5.229 alpha=90.00 beta=90.00 gamma=90.00
Atoms (fractional coordinates):
Sc: 0.500 0.000 0.000
Zr: 0.500 0.500 0.500
I: 0.000 0.000 0.000
Sc: 0.000 0.500 0.000
Sc: 0.000 0.000 0.500

---

The following is a GGA-PBE calculation of ZrSc2I after structural relaxation, from Alexandria.

The space group is No. 122. The calculation puts the volume at 25.88 Å³ per atom. The value obtained for the energy above the most stable polymorph in this dataset is 233 meV per atom. The density of states at the Fermi level comes out at 5.77 states/eV/f.u. The value obtained for the total energy is -43.49 eV per cell. The calculation puts the formation energy without anion corrections at 0.254 eV per atom.

Unit cell a=8.312 b=8.312 c=6.597 alpha=50.95 beta=50.95 gamma=90.00
Atoms (fractional coordinates):
I: 0.750 0.250 0.500
Sc: 0.663 0.125 0.250
Sc: 0.087 0.625 0.250
I: 0.000 0.000 0.000
Sc: 0.875 0.913 0.750
Zr: 0.250 0.750 0.500
Zr: 0.500 0.500 0.000
Sc: 0.375 0.337 0.750

---

The following is a GGA-PBE calculation of ZrSc2I after structural relaxation, from Alexandria.

The space group is No. 166. The calculation puts the volume at 28.32 Å³ per atom. The value obtained for the energy above the most stable polymorph in this dataset is 0 meV per atom. The density of states at the Fermi level comes out at 7.46 states/eV/f.u. The value obtained for the total energy is -22.68 eV per cell. The calculation puts the formation energy without anion corrections at 0.021 eV per atom.

Unit cell a=10.634 b=10.634 c=10.634 alpha=19.17 beta=19.17 gamma=19.17
Atoms (fractional coordinates):
Zr: 0.500 0.500 0.500
I: 0.000 0.000 0.000
Sc: 0.090 0.090 0.090
Sc: 0.910 0.910 0.910

---

Q: Look up the volume of the third one.
A: 28.32 Å³ per atom

---

Q: What is the formula in the first record?
A: ZrSc3I

---

Q: total energy of number 2 (ZrSc2I)?
A: -43.49 eV per cell